Entry 1:
The following is a DFT calculation (PBE-GGA) of a relaxed TbMgScSe4 crystal.

Summary:
The energy relative to the elements, uncorrected is -1.630 eV/atom. Its crystal system is orthorhombic. Its space-group type is No. 74.

Cell: 8.120 8.120 8.120 Å, 120.46 119.55 89.99°
Positions (direct):
Tb1 0.000 0.000 0.000
Tb2 0.500 0.000 0.500
Mg1 0.376 0.626 0.750
Mg2 0.624 0.374 0.250
Sc1 0.000 0.000 0.500
Sc2 0.000 0.500 0.000
Se1 0.230 0.250 0.980
Se2 0.230 0.750 0.480
Se3 0.238 0.234 0.497
Se4 0.238 0.741 0.003
Se5 0.762 0.259 0.997
Se6 0.762 0.766 0.503
Se7 0.770 0.250 0.520
Se8 0.770 0.750 0.020

***

Entry 2:
The following is a DFT calculation (PBE-GGA) of a relaxed NaGdHg crystal.

Summary:
The value obtained for the energy above the lowest structure with this stoichiometry is 0.049 eV/atom. Its crystal system is trigonal. Its space-group type is No. 156. As for the calculated formation energy: -0.088 eV per atom.

Cell: 5.213 5.213 3.393 Å, 90.00 90.00 120.00°
Positions (direct):
Na1 0.000 0.000 0.000
Gd1 0.667 0.333 0.498
Hg1 0.333 0.667 0.997

***

Entry 3:
The following is a DFT calculation (PBE-GGA) of a relaxed Ni2Hg2C crystal.

Summary:
The value obtained for the energy above the lowest structure with this stoichiometry is 0.052 eV/atom. Its crystal system is tetragonal. Its space-group type is No. 127. As for the calculated formation energy: 1.378 eV per atom.

Cell: 6.416 6.416 3.817 Å, 90.00 90.00 90.00°
Positions (direct):
Ni1 0.137 0.363 0.000
Ni2 0.363 0.863 0.000
Ni3 0.637 0.137 0.000
Ni4 0.863 0.637 0.000
Hg1 0.166 0.666 0.500
Hg2 0.334 0.166 0.500
Hg3 0.666 0.834 0.500
Hg4 0.834 0.334 0.500
C1 0.000 0.000 0.500
C2 0.500 0.500 0.500

***

Entry 4:
The following is a DFT calculation (PBE-GGA) of a relaxed Ba2LiThTe5 crystal.

Summary:
The energy relative to the elements, uncorrected is -1.296 eV/atom. Its crystal system is orthorhombic. Its space-group type is No. 36.

Cell: 10.383 10.383 13.930 Å, 90.00 90.00 153.77°
Positions (direct):
Ba1 0.113 0.887 0.500
Ba2 0.122 0.878 0.134
Ba3 0.878 0.122 0.634
Ba4 0.887 0.113 0.000
Li1 0.442 0.558 0.257
Li2 0.558 0.442 0.757
Th1 0.201 0.799 0.829
Th2 0.799 0.201 0.329
Te1 0.047 0.953 0.858
Te2 0.293 0.707 0.479
Te3 0.310 0.690 0.177
Te4 0.354 0.646 0.819
Te5 0.496 0.504 0.576
Te6 0.504 0.496 0.076
Te7 0.646 0.354 0.319
Te8 0.690 0.310 0.677
Te9 0.707 0.293 0.979
Te10 0.953 0.047 0.358

***

Entry 5:
The following is a DFT calculation (PBE-GGA) of a relaxed WAuBr2 crystal.

Summary:
The value obtained for the energy above the lowest structure with this stoichiometry is 0.601 eV/atom. The energy relative to the elements, uncorrected is 0.819 eV/atom. Its crystal system is monoclinic. Its space-group type is No. 10.

Cell: 3.091 4.515 5.820 Å, 90.00 94.08 90.00°
Positions (direct):
W1 0.000 0.000 0.000
Au1 0.500 0.000 0.500
Br1 0.156 0.500 0.237
Br2 0.844 0.500 0.763

***

Entry 6:
The following is a DFT calculation (PBE-GGA) of a relaxed PmCd5Au crystal.

Summary:
Its crystal system is tetragonal. Its space-group type is No. 123. As for the calculated formation energy: -0.268 eV per atom.

Cell: 4.852 4.852 7.261 Å, 90.00 90.00 90.00°
Positions (direct):
Pm1 0.000 0.000 0.000
Cd1 0.000 0.500 0.290
Cd2 0.000 0.500 0.710
Cd3 0.500 0.000 0.290
Cd4 0.500 0.000 0.710
Cd5 0.500 0.500 0.000
Au1 0.000 0.000 0.500

***

Number 1: calculated density 4.77 g cm⁻³. Number 2: calculated density 7.92 g cm⁻³. Number 3: calculated density 11.22 g cm⁻³. Number 4: calculated density 5.76 g cm⁻³. Number 5: calculated density 11.08 g cm⁻³. Number 6: calculated density 8.78 g cm⁻³.